A plane-wave DFT calculation with PBE was carried out for a geometry-optimized Sc2InAu2 structure.

Properties
Crystal system = tetragonal
Calculated volume = 234.3 Å³/cell
Formation energy from the elements = -0.29 eV per atom

CIF file:
```
data_Sc2InAu2
_chemical_formula_sum 'Sc4 In2 Au4'
_cell_length_a 4.122
_cell_length_b 4.122
_cell_length_c 13.788
_cell_angle_alpha 90.00
_cell_angle_beta 90.00
_cell_angle_gamma 90.00
_space_group_name_H-M_alt 'I 4/m m m'
_space_group_IT_number 139
_space_group_name_Hall '-I 4 2'
loop_
_atom_site_label
_atom_site_fract_x
_atom_site_fract_y
_atom_site_fract_z
_atom_site_occupancy
Sc1 0.000 0.000 0.114 1
In1 0.000 0.000 0.500 1
Au1 0.000 0.500 0.250 1
```